# Be2POs (PBE-GGA, optimized geometry)
# E_form: 0.1558 eV/atom
data_Be2POs
_cell_length_a 2.7459
_cell_length_b 2.7459
_cell_length_c 21.1473
_cell_angle_alpha 90.00
_cell_angle_beta 90.00
_cell_angle_gamma 120.00
_space_group_name_H-M_alt 'R -3 m'
_space_group_IT_number 166
_space_group_name_Hall '-R 3 2"'
loop_
_atom_site_label
_atom_site_type_symbol
_atom_site_fract_x
_atom_site_fract_y
_atom_site_fract_z
_atom_site_occupancy
Be1 Be 0.0000 0.0000 0.2467 1
P1 P 0.0000 0.0000 0.5000 1
Os1 Os 0.0000 0.0000 0.0000 1


# Te2Pd2Se (PBE-GGA, optimized geometry)
# E above lowest polymorph: 1.641 eV per formula unit
# ΔE_f (raw): 0.03 eV per atom
data_Te2Pd2Se
_cell_length_a 8.028
_cell_length_b 8.028
_cell_length_c 3.354
_cell_angle_alpha 90.00
_cell_angle_beta 90.00
_cell_angle_gamma 90.00
_space_group_name_H-M_alt 'P 4/m b m'
_space_group_IT_number 127
_space_group_name_Hall '-P 4 2ab'
loop_
_atom_site_label
_atom_site_type_symbol
_atom_site_fract_x
_atom_site_fract_y
_atom_site_fract_z
_atom_site_occupancy
Te1 Te 0.182 0.318 0.000 1
Pd1 Pd 0.120 0.620 0.500 1
Se1 Se 0.000 0.000 0.000 1


# CrIr2Se (PBE-GGA, optimized geometry)
# ΔE_f (raw): 0.51 eV per atom
data_CrIr2Se
_cell_length_a 6.171
_cell_length_b 6.171
_cell_length_c 6.171
_cell_angle_alpha 90.00
_cell_angle_beta 90.00
_cell_angle_gamma 90.00
_space_group_name_H-M_alt 'F -4 3 m'
_space_group_IT_number 216
_space_group_name_Hall 'F -4 2 3'
loop_
_atom_site_label
_atom_site_type_symbol
_atom_site_fract_x
_atom_site_fract_y
_atom_site_fract_z
_atom_site_occupancy
Cr1 Cr 0.000 0.000 0.000 1
Ir1 Ir 0.000 0.000 0.500 1
Ir2 Ir 0.250 0.250 0.750 1
Se1 Se 0.250 0.250 0.250 1


# Pu2ZnPt6 (PBE-GGA, optimized geometry)
# E_form: -0.6741 eV/atom
data_Pu2ZnPt6
_cell_length_a 9.580
_cell_length_b 5.582
_cell_length_c 6.418
_cell_angle_alpha 90.00
_cell_angle_beta 103.42
_cell_angle_gamma 90.00
_space_group_name_H-M_alt 'C 1 2/m 1'
_space_group_IT_number 12
loop_
_space_group_symop_operation_xyz
'x,y,z'
'-x,-y,-z'
'-x,y,-z'
'x,-y,z'
'x+1/2,y+1/2,z'
'-x+1/2,-y+1/2,-z'
'-x+1/2,y+1/2,-z'
'x+1/2,-y+1/2,z'
loop_
_atom_site_label
_atom_site_type_symbol
_atom_site_fract_x
_atom_site_fract_y
_atom_site_fract_z
_atom_site_occupancy
Pu1 Pu 0.147 0.000 0.369 1
Zn1 Zn 0.000 0.500 0.500 1
Pt1 Pt 0.121 0.500 0.189 1
Pt2 Pt 0.133 0.244 0.817 1


# MgGa3Co3 (PBE-GGA, optimized geometry)
# E_form: 0.5092 eV/atom
data_MgGa3Co3
_cell_length_a 6.410
_cell_length_b 6.410
_cell_length_c 6.410
_cell_angle_alpha 90.00
_cell_angle_beta 90.00
_cell_angle_gamma 90.00
_space_group_name_H-M_alt 'P m -3 n'
_space_group_IT_number 223
_space_group_name_Hall '-P 4n 2 3'
loop_
_atom_site_label
_atom_site_type_symbol
_atom_site_fract_x
_atom_site_fract_y
_atom_site_fract_z
_atom_site_occupancy
Mg1 Mg 0.000 0.000 0.000 1
Ga1 Ga 0.000 0.250 0.500 1
Co1 Co 0.000 0.500 0.250 1


# Pr2Nd8Y3 (PBE-GGA, optimized geometry)
# E_form: 0.1991 eV/atom
data_Pr2Nd8Y3
_cell_length_a 20.926
_cell_length_b 7.751
_cell_length_c 5.747
_cell_angle_alpha 90.00
_cell_angle_beta 90.02
_cell_angle_gamma 90.00
_space_group_name_H-M_alt 'C 1 2/m 1'
_space_group_IT_number 12
loop_
_space_group_symop_operation_xyz
'x,y,z'
'-x,-y,-z'
'-x,y,-z'
'x,-y,z'
'x+1/2,y+1/2,z'
'-x+1/2,-y+1/2,-z'
'-x+1/2,y+1/2,-z'
'x+1/2,-y+1/2,z'
loop_
_atom_site_label
_atom_site_type_symbol
_atom_site_fract_x
_atom_site_fract_y
_atom_site_fract_z
_atom_site_occupancy
Pr1 Pr 0.240 0.000 0.499 1
Nd1 Nd 0.104 0.295 0.500 1
Nd2 Nd 0.131 0.000 0.000 1
Nd3 Nd 0.169 0.500 0.001 1
Y1 Y 0.000 0.000 0.500 1
Y2 Y 0.000 0.284 0.000 1


What did the third record say?
# CrIr2Se (PBE-GGA, optimized geometry)
# ΔE_f (raw): 0.51 eV per atom
data_CrIr2Se
_cell_length_a 6.171
_cell_length_b 6.171
_cell_length_c 6.171
_cell_angle_alpha 90.00
_cell_angle_beta 90.00
_cell_angle_gamma 90.00
_space_group_name_H-M_alt 'F -4 3 m'
_space_group_IT_number 216
_space_group_name_Hall 'F -4 2 3'
loop_
_atom_site_label
_atom_site_type_symbol
_atom_site_fract_x
_atom_site_fract_y
_atom_site_fract_z
_atom_site_occupancy
Cr1 Cr 0.000 0.000 0.000 1
Ir1 Ir 0.000 0.000 0.500 1
Ir2 Ir 0.250 0.250 0.750 1
Se1 Se 0.250 0.250 0.250 1


Copy entry 1 word for word.
# Be2POs (PBE-GGA, optimized geometry)
# E_form: 0.1558 eV/atom
data_Be2POs
_cell_length_a 2.7459
_cell_length_b 2.7459
_cell_length_c 21.1473
_cell_angle_alpha 90.00
_cell_angle_beta 90.00
_cell_angle_gamma 120.00
_space_group_name_H-M_alt 'R -3 m'
_space_group_IT_number 166
_space_group_name_Hall '-R 3 2"'
loop_
_atom_site_label
_atom_site_type_symbol
_atom_site_fract_x
_atom_site_fract_y
_atom_site_fract_z
_atom_site_occupancy
Be1 Be 0.0000 0.0000 0.2467 1
P1 P 0.0000 0.0000 0.5000 1
Os1 Os 0.0000 0.0000 0.0000 1


Question: Which formula does entry 4 have?
Answer: Pu2ZnPt6